No. 1
Ta2TiFe5Co2 PBE optimized geometry; total magnetization = 13.25 μB per cell; E_tot = -8.873 eV/atom; symmetry = P4/mbm (127)
1.0
8.317 0.000 0.000
0.000 8.317 0.000
0.000 0.000 3.753
Ta Ti Fe Co
4 2 10 4
direct
0.163 0.337 0.000 Ta
0.337 0.837 0.000 Ta
0.663 0.163 0.000 Ta
0.837 0.663 0.000 Ta
0.000 0.000 0.000 Ti
0.500 0.500 0.000 Ti
0.000 0.500 0.500 Fe
0.070 0.795 0.500 Fe
0.205 0.070 0.500 Fe
0.295 0.570 0.500 Fe
0.430 0.295 0.500 Fe
0.500 0.000 0.500 Fe
0.570 0.705 0.500 Fe
0.705 0.430 0.500 Fe
0.795 0.930 0.500 Fe
0.930 0.205 0.500 Fe
0.133 0.633 0.000 Co
0.367 0.133 0.000 Co
0.633 0.867 0.000 Co
0.867 0.367 0.000 Co

No. 2
Tm6TcPb PBE optimized geometry; total magnetization = 0.00 μB per cell; E_tot = -5.023 eV/atom; symmetry = P-1 (2)
1.0
6.706 0.000 0.000
3.345 5.821 0.000
0.008 3.865 6.561
Tm Tc Pb
6 1 1
direct
0.035 0.182 0.237 Tm
0.219 0.201 0.765 Tm
0.417 0.547 0.236 Tm
0.583 0.453 0.764 Tm
0.781 0.799 0.235 Tm
0.965 0.818 0.763 Tm
0.000 0.000 0.000 Tc
0.500 0.000 0.500 Pb

Which of these has the highest E_tot? Tm6TcPb

Which of these has the highest E_tot? Tm6TcPb

Please write out number 2 again, unchanged.
Tm6TcPb PBE optimized geometry; total magnetization = 0.00 μB per cell; E_tot = -5.023 eV/atom; symmetry = P-1 (2)
1.0
6.706 0.000 0.000
3.345 5.821 0.000
0.008 3.865 6.561
Tm Tc Pb
6 1 1
direct
0.035 0.182 0.237 Tm
0.219 0.201 0.765 Tm
0.417 0.547 0.236 Tm
0.583 0.453 0.764 Tm
0.781 0.799 0.235 Tm
0.965 0.818 0.763 Tm
0.000 0.000 0.000 Tc
0.500 0.000 0.500 Pb

Which of these has the highest E_tot? Tm6TcPb